# Ti2VGaH PBE relaxed
# V (Å³ per cell): 63
# DOS(E_F) (states/eV/cell): 4.55
# Size of the total moment (μB/f.u.): 0.43
# E (eV/atom): -6.607
data_Ti2VGaH
_chemical_formula_sum 'Ti2 V1 Ga1 H1'
_cell_length_a 4.146
_cell_length_b 4.146
_cell_length_c 3.665
_cell_angle_alpha 90.00
_cell_angle_beta 90.00
_cell_angle_gamma 90.00
_space_group_name_H-M_alt 'P 4/m m m'
_space_group_IT_number 123
_space_group_name_Hall '-P 4 2'
loop_
_atom_site_label
_atom_site_type_symbol
_atom_site_fract_x
_atom_site_fract_y
_atom_site_fract_z
_atom_site_occupancy
Ti1 Ti 0.000 0.500 0.000 1
V1 V 0.000 0.000 0.500 1
Ga1 Ga 0.500 0.500 0.500 1
H1 H 0.000 0.000 0.000 1

=====

# TiV2GaH PBE relaxed
# V (Å³ per cell): 60
# DOS(E_F) (states/eV/cell): 4.21
# Size of the total moment (μB/f.u.): 0.00
# Energy above the lowest structure with this stoichiometry (meV/atom): 0
data_TiV2GaH
_chemical_formula_sum 'Ti1 V2 Ga1 H1'
_cell_length_a 3.767
_cell_length_b 3.767
_cell_length_c 4.206
_cell_angle_alpha 90.00
_cell_angle_beta 90.00
_cell_angle_gamma 90.00
_space_group_name_H-M_alt 'P 4/m m m'
_space_group_IT_number 123
_space_group_name_Hall '-P 4 2'
loop_
_atom_site_label
_atom_site_type_symbol
_atom_site_fract_x
_atom_site_fract_y
_atom_site_fract_z
_atom_site_occupancy
Ti1 Ti 0.000 0.000 0.000 1
V1 V 0.000 0.500 0.500 1
Ga1 Ga 0.500 0.500 0.000 1
H1 H 0.000 0.000 0.500 1

=====

- Look up the V of the second one.
  60 Å³ per cell

=====

- What is the formula in the second record?
  TiV2GaH

=====

- What is the size of the total moment in the second record?
  0.00 μB/f.u.